(1)
Computed, not measured: an optimized crystal structure of TlInRh2 at the PBE level of DFT.

Calculated values
**Final energy**: -4.714 eV per atom
**Size of the total moment**: 0.0 μB/cell
**SG**: I-42d, No. 122
**Formation energy**: 0.238 eV/atom

Unit cell a=5.945 b=5.945 c=5.945 alpha=104.86 beta=104.86 gamma=119.14
Sites, in units of the cell vectors:
Tl: 0.000 0.000 0.000
Tl: 0.750 0.250 0.500
In: 0.250 0.750 0.500
In: 0.500 0.500 0.000
Rh: 0.132 0.625 0.007
Rh: 0.375 0.382 0.507
Rh: 0.618 0.125 0.993
Rh: 0.875 0.868 0.493

***

(2)
Computed, not measured: an optimized crystal structure of Tl2InRh at the PBE level of DFT.

Calculated values
**Final energy**: -3.775 eV per atom
**Size of the total moment**: 0.0 μB/cell
**Relative energy among the computed polymorphs**: 0.000 eV/atom
**SG**: Amm2, No. 38
**Formation energy**: -0.069 eV/atom

Unit cell a=3.173 b=7.598 c=7.598 alpha=33.50 beta=90.00 gamma=90.00
Sites, in units of the cell vectors:
Tl: 0.000 0.000 0.000
Tl: 0.500 0.359 0.359
In: 0.000 0.683 0.683
Rh: 0.500 0.168 0.168

***

(3)
Computed, not measured: an optimized crystal structure of Tl2InRh at the PBE level of DFT.

Calculated values
**Final energy**: -3.415 eV per atom
**Size of the total moment**: 0.0 μB/cell
**Relative energy among the computed polymorphs**: 0.360 eV/atom
**SG**: P4/mmm, No. 123
**Formation energy**: 0.290 eV/atom

Unit cell a=4.568 b=4.568 c=4.320 alpha=90.00 beta=90.00 gamma=90.00
Sites, in units of the cell vectors:
Tl: 0.000 0.500 0.000
Tl: 0.500 0.000 0.000
In: 0.000 0.000 0.500
Rh: 0.500 0.500 0.500

***

(4)
Computed, not measured: an optimized crystal structure of Tl3InRh at the PBE level of DFT.

Calculated values
**Final energy**: -3.347 eV per atom
**Size of the total moment**: 0.0 μB/cell
**Relative energy among the computed polymorphs**: 0.000 eV/atom
**SG**: Pm-3m, No. 221
**Formation energy**: 0.091 eV/atom

Unit cell a=5.291 b=5.291 c=5.291 alpha=90.00 beta=90.00 gamma=90.00
Sites, in units of the cell vectors:
Tl: 0.000 0.000 0.500
Tl: 0.000 0.500 0.000
Tl: 0.500 0.000 0.000
In: 0.500 0.500 0.500
Rh: 0.000 0.000 0.000

***

(5)
Computed, not measured: an optimized crystal structure of Tl2InRh at the PBE level of DFT.

Calculated values
**Final energy**: -3.422 eV per atom
**Size of the total moment**: 0.0 μB/cell
**Relative energy among the computed polymorphs**: 0.353 eV/atom
**SG**: Cmmm, No. 65
**Formation energy**: 0.284 eV/atom

Unit cell a=5.197 b=5.197 c=3.557 alpha=90.00 beta=90.00 gamma=109.68
Sites, in units of the cell vectors:
Tl: 0.000 0.500 0.000
Tl: 0.500 0.000 0.000
In: 0.000 0.000 0.500
Rh: 0.500 0.500 0.500

***

(6)
Computed, not measured: an optimized crystal structure of YTlInRh2 at the PBE level of DFT.

Calculated values
**Final energy**: -4.483 eV per atom
**Size of the total moment**: 0.0 μB/cell
**SG**: P4/mmm, No. 123
**Formation energy**: 0.771 eV/atom

Unit cell a=4.972 b=4.972 c=5.834 alpha=90.00 beta=90.00 gamma=90.00
Sites, in units of the cell vectors:
Y: 0.000 0.000 0.000
Tl: 0.000 0.000 0.500
In: 0.500 0.500 0.500
Rh: 0.000 0.500 0.000
Rh: 0.500 0.000 0.000

***

(7)
Computed, not measured: an optimized crystal structure of YTlIn2Rh at the PBE level of DFT.

Calculated values
**Final energy**: -4.631 eV per atom
**Size of the total moment**: 0.0 μB/cell
**SG**: P4/mmm, No. 123
**Formation energy**: -0.299 eV/atom

Unit cell a=5.175 b=5.175 c=5.229 alpha=90.00 beta=90.00 gamma=90.00
Sites, in units of the cell vectors:
Y: 0.000 0.000 0.000
Tl: 0.500 0.500 0.000
In: 0.000 0.500 0.500
In: 0.500 0.000 0.500
Rh: 0.000 0.000 0.500

***

(8)
Computed, not measured: an optimized crystal structure of TlZnIn2Rh at the PBE level of DFT.

Calculated values
**Final energy**: -3.378 eV per atom
**Size of the total moment**: 0.0 μB/cell
**SG**: P4/mmm, No. 123
**Formation energy**: -0.084 eV/atom

Unit cell a=5.151 b=5.151 c=4.932 alpha=90.00 beta=90.00 gamma=90.00
Sites, in units of the cell vectors:
Tl: 0.000 0.000 0.000
Zn: 0.500 0.500 0.000
In: 0.000 0.500 0.500
In: 0.500 0.000 0.500
Rh: 0.500 0.500 0.500

***

(9)
Computed, not measured: an optimized crystal structure of ZrTlInRh2 at the PBE level of DFT.

Calculated values
**Final energy**: -4.539 eV per atom
**Size of the total moment**: 0.0 μB/cell
**SG**: P4/mmm, No. 123
**Formation energy**: 1.132 eV/atom

Unit cell a=4.933 b=4.933 c=5.136 alpha=90.00 beta=90.00 gamma=90.00
Sites, in units of the cell vectors:
Zr: 0.000 0.000 0.000
Tl: 0.500 0.500 0.500
In: 0.500 0.500 0.000
Rh: 0.000 0.500 0.500
Rh: 0.500 0.000 0.500

***

(10)
Computed, not measured: an optimized crystal structure of Tm3InRh2 at the PBE level of DFT.

Calculated values
**Final energy**: -5.931 eV per atom
**Size of the total moment**: 0.0 μB/cell
**SG**: P4/mmm, No. 123
**Formation energy**: -0.788 eV/atom

Unit cell a=3.323 b=3.323 c=11.744 alpha=90.00 beta=90.00 gamma=90.00
Sites, in units of the cell vectors:
Tm: 0.000 0.000 0.000
Tm: 0.000 0.000 0.295
Tm: 0.000 0.000 0.705
In: 0.500 0.500 0.500
Rh: 0.500 0.500 0.151
Rh: 0.500 0.500 0.849

***

(11)
Computed, not measured: an optimized crystal structure of Tm6In3Rh at the PBE level of DFT.

Calculated values
**Final energy**: -4.688 eV per atom
**Size of the total moment**: 0.0 μB/cell
**SG**: P2_1/m, No. 11
**Formation energy**: -0.448 eV/atom

Unit cell a=9.088 b=5.216 c=11.208 alpha=90.00 beta=107.30 gamma=90.00
Sites, in units of the cell vectors:
Tm: 0.045 0.250 0.418
Tm: 0.191 0.750 0.167
Tm: 0.280 0.250 0.003
Tm: 0.349 0.750 0.826
Tm: 0.369 0.250 0.336
Tm: 0.402 0.250 0.644
Tm: 0.598 0.750 0.356
Tm: 0.631 0.750 0.664
Tm: 0.651 0.250 0.174
Tm: 0.720 0.750 0.997
Tm: 0.809 0.250 0.833
Tm: 0.955 0.750 0.582
In: 0.012 0.750 0.880
In: 0.098 0.250 0.718
In: 0.280 0.750 0.477
In: 0.720 0.250 0.523
In: 0.902 0.750 0.282
In: 0.988 0.250 0.120
Rh: 0.461 0.750 0.094
Rh: 0.539 0.250 0.906

***

(12)
Computed, not measured: an optimized crystal structure of Tm8In2Rh at the PBE level of DFT.

Calculated values
**Final energy**: -4.750 eV per atom
**Size of the total moment**: 0.0 μB/cell
**SG**: C2/m, No. 12
**Formation energy**: -0.331 eV/atom

Unit cell a=9.022 b=9.022 c=6.910 alpha=111.37 beta=111.37 gamma=34.53
Sites, in units of the cell vectors:
Tm: 0.012 0.012 0.271
Tm: 0.194 0.194 0.749
Tm: 0.358 0.358 0.580
Tm: 0.399 0.399 0.088
Tm: 0.601 0.601 0.912
Tm: 0.642 0.642 0.420
Tm: 0.806 0.806 0.251
Tm: 0.988 0.988 0.729
In: 0.182 0.182 0.193
In: 0.818 0.818 0.807
Rh: 0.500 0.500 0.500

***

(13)
Computed, not measured: an optimized crystal structure of Tm3InRh4 at the PBE level of DFT.

Calculated values
**Final energy**: -6.573 eV per atom
**Size of the total moment**: 0.0 μB/cell
**SG**: P4/mmm, No. 123
**Formation energy**: -0.879 eV/atom

Unit cell a=4.680 b=4.680 c=6.778 alpha=90.00 beta=90.00 gamma=90.00
Sites, in units of the cell vectors:
Tm: 0.000 0.000 0.000
Tm: 0.000 0.000 0.500
Tm: 0.500 0.500 0.000
In: 0.500 0.500 0.500
Rh: 0.000 0.500 0.250
Rh: 0.000 0.500 0.750
Rh: 0.500 0.000 0.250
Rh: 0.500 0.000 0.750

***

(14)
Computed, not measured: an optimized crystal structure of Tm4InRh2 at the PBE level of DFT.

Calculated values
**Final energy**: -5.630 eV per atom
**Size of the total moment**: 0.0 μB/cell
**SG**: R-3m, No. 166
**Formation energy**: -0.583 eV/atom

Unit cell a=10.215 b=10.215 c=10.215 alpha=25.75 beta=25.75 gamma=25.75
Sites, in units of the cell vectors:
Tm: 0.109 0.109 0.109
Tm: 0.299 0.299 0.299
Tm: 0.701 0.701 0.701
Tm: 0.891 0.891 0.891
In: 0.500 0.500 0.500
Rh: 0.402 0.402 0.402
Rh: 0.598 0.598 0.598

***

(15)
Computed, not measured: an optimized crystal structure of TmInRh at the PBE level of DFT.

Calculated values
**Final energy**: -5.413 eV per atom
**Size of the total moment**: 0.0 μB/cell
**SG**: P-6m2, No. 187
**Formation energy**: -0.559 eV/atom

Unit cell a=4.681 b=4.681 c=3.318 alpha=90.00 beta=90.00 gamma=120.00
Sites, in units of the cell vectors:
Tm: 0.000 0.000 0.000
In: 0.333 0.667 0.500
Rh: 0.667 0.333 0.500

***

(16)
Computed, not measured: an optimized crystal structure of TmInRh at the PBE level of DFT.

Calculated values
**Final energy**: -5.491 eV per atom
**Size of the total moment**: 0.0 μB/cell
**SG**: F-43m, No. 216
**Formation energy**: -0.637 eV/atom

Unit cell a=4.626 b=4.626 c=4.626 alpha=60.00 beta=60.00 gamma=60.00
Sites, in units of the cell vectors:
Tm: 0.000 0.000 0.000
In: 0.500 0.500 0.500
Rh: 0.250 0.250 0.250

***

(17)
Computed, not measured: an optimized crystal structure of Tm2InRh4 at the PBE level of DFT.

Calculated values
**Final energy**: -6.350 eV per atom
**Size of the total moment**: 0.0 μB/cell
**SG**: R-3m, No. 166
**Formation energy**: -0.481 eV/atom

Unit cell a=7.928 b=7.928 c=7.928 alpha=33.39 beta=33.39 gamma=33.39
Sites, in units of the cell vectors:
Tm: 0.244 0.244 0.244
Tm: 0.756 0.756 0.756
In: 0.000 0.000 0.000
Rh: 0.123 0.123 0.123
Rh: 0.374 0.374 0.374
Rh: 0.626 0.626 0.626
Rh: 0.877 0.877 0.877

***

(18)
Computed, not measured: an optimized crystal structure of TmIn3Rh4 at the PBE level of DFT.

Calculated values
**Final energy**: -5.878 eV per atom
**Size of the total moment**: 0.0 μB/cell
**SG**: Pmmm, No. 47
**Formation energy**: -0.616 eV/atom

Unit cell a=3.447 b=4.477 c=9.014 alpha=90.00 beta=90.00 gamma=90.00
Sites, in units of the cell vectors:
Tm: 0.000 0.000 0.000
In: 0.000 0.000 0.500
In: 0.000 0.500 0.252
In: 0.000 0.500 0.748
Rh: 0.500 0.000 0.254
Rh: 0.500 0.000 0.746
Rh: 0.500 0.500 0.000
Rh: 0.500 0.500 0.500

***

(19)
Computed, not measured: an optimized crystal structure of TmIn4Rh2 at the PBE level of DFT.

Calculated values
**Final energy**: -4.625 eV per atom
**Size of the total moment**: 0.0 μB/cell
**SG**: R-3m, No. 166
**Formation energy**: -0.321 eV/atom

Unit cell a=9.517 b=9.517 c=9.517 alpha=27.76 beta=27.76 gamma=27.76
Sites, in units of the cell vectors:
Tm: 0.000 0.000 0.000
In: 0.202 0.202 0.202
In: 0.402 0.402 0.402
In: 0.598 0.598 0.598
In: 0.798 0.798 0.798
Rh: 0.101 0.101 0.101
Rh: 0.899 0.899 0.899

***

(20)
Computed, not measured: an optimized crystal structure of TmInRh at the PBE level of DFT.

Calculated values
**Final energy**: -5.603 eV per atom
**Size of the total moment**: 0.0 μB/cell
**SG**: Pmma, No. 51
**Formation energy**: -0.749 eV/atom

Unit cell a=13.090 b=3.739 c=7.765 alpha=90.00 beta=90.00 gamma=90.00
Sites, in units of the cell vectors:
Tm: 0.046 0.000 0.213
Tm: 0.250 0.000 0.830
Tm: 0.454 0.000 0.213
Tm: 0.546 0.000 0.787
Tm: 0.750 0.000 0.170
Tm: 0.954 0.000 0.787
In: 0.112 0.500 0.566
In: 0.250 0.500 0.187
In: 0.388 0.500 0.566
In: 0.612 0.500 0.434
In: 0.750 0.500 0.813
In: 0.888 0.500 0.434
Rh: 0.100 0.500 0.934
Rh: 0.250 0.000 0.445
Rh: 0.400 0.500 0.934
Rh: 0.600 0.500 0.066
Rh: 0.750 0.000 0.555
Rh: 0.900 0.500 0.066